A geometry-optimized DyCo3B3 structure. Source: Alexandria, functional PBE.

The calculation puts the density of states at the Fermi level at 24.1 states/eV per cell. As for the formation enthalpy at 0 K: -131 meV per atom. The calculation puts the offset from the most stable computed form at 58.7 meV/atom.

The structure belongs to space group P2_13 (No. 198); the cell edges are 6.6211, 6.6211 and 6.6211 Å and the angles 90.00°, 90.00° and 90.00°. The inequivalent atoms are Dy at (0.0543, 0.4457, 0.5543), Co at (0.1028, 0.6028, 0.8972), Co at (0.1814, 0.1814, 0.1814), Co at (0.2049, 0.7951, 0.2951) and B at (0.0070, 0.8278, 0.5508).